## LiGeBO4 (PBE-GGA)

Data for a relaxed structure of LiGeBO4.

## Properties
**Crystal system**: orthorhombic
**Space-group type**: Fmm2, No. 42
**Formation energy without anion corrections**: -43.650 kcal/mol of atoms
**Total DFT energy (no corrections)**: -6.61 eV per atom

a b c (Å): 5.743 5.701 3.842
angles (deg): 70.96 69.81 39.23
Positions (direct):
Li 0.006 0.006 0.994
Ge 0.270 0.270 0.730
B 0.749 0.749 0.251
O 0.059 0.638 0.362
O 0.893 0.437 0.107
O 0.638 0.059 0.941
O 0.437 0.893 0.563